Here is K4Zn3ClF12 after structural relaxation from Alexandria. Energies are from PBE-GGA.

Cell lengths 7.329, 7.329, 7.329 Å; angles 109.47, 109.47, 109.47 degrees
Element x y z (fractional)
K: 0.000 0.000 0.500
K: 0.000 0.500 0.000
K: 0.500 0.000 0.000
K: 0.500 0.500 0.500
Zn: 0.000 0.500 0.500
Zn: 0.500 0.000 0.500
Zn: 0.500 0.500 0.000
Cl: 0.000 0.000 0.000
F: 0.000 0.270 0.270
F: 0.000 0.730 0.730
F: 0.250 0.500 0.750
F: 0.250 0.750 0.500
F: 0.270 0.000 0.270
F: 0.270 0.270 0.000
F: 0.500 0.250 0.750
F: 0.500 0.750 0.250
F: 0.730 0.000 0.730
F: 0.730 0.730 0.000
F: 0.750 0.250 0.500
F: 0.750 0.500 0.250

Output
Formation energy from raw total energies in meV per atom: -2178
Space group: Im-3m (229)